1.
A plane-wave DFT calculation with PBE was carried out for ZnGaCo2 after structural relaxation.

```
ZnGaCo2
1.0
2.693 0.000 0.000
-1.347 2.332 0.000
0.000 0.000 23.850
Zn Ga Co
3 3 6
Cartesian
0.000 0.000 0.000
0.000 1.555 15.900
1.347 0.777 7.950
0.000 0.000 3.976
0.000 1.555 19.876
1.347 0.777 11.926
0.000 0.000 13.876
0.000 0.000 17.927
0.000 1.555 5.926
0.000 1.555 9.977
1.347 0.777 2.027
1.347 0.777 21.826
```

Values from the calculation:
Total energy   -4.628 eV/atom
Space-group type   R3m


2.
A plane-wave DFT calculation with PBE was carried out for Zn2GaCo2 after structural relaxation.

```
Zn2GaCo2
1.0
5.962 0.000 0.000
0.000 5.962 0.000
0.000 0.000 3.781
Zn Ga Co
4 2 4
Cartesian
0.956 2.025 0.000
2.025 5.005 0.000
3.937 0.956 0.000
5.005 3.937 0.000
0.000 0.000 1.891
2.981 2.981 1.891
0.813 3.794 1.891
2.168 0.813 1.891
3.794 5.149 1.891
5.149 2.168 1.891
```

Values from the calculation:
Total energy   -4.031 eV/atom
Space-group type   P4/mbm


3.
A plane-wave DFT calculation with PBE was carried out for ZnGa2Co after structural relaxation.

```
ZnGa2Co
1.0
4.014 0.000 0.000
-2.007 3.477 0.000
0.000 0.000 13.219
Zn Ga Co
3 6 3
Cartesian
0.000 0.000 0.000
0.000 2.318 8.813
2.007 1.159 4.406
0.000 0.000 2.865
0.000 0.000 5.736
0.000 2.318 1.329
0.000 2.318 11.677
2.007 1.159 7.271
2.007 1.159 10.142
0.000 0.000 10.726
0.000 2.318 6.320
2.007 1.159 1.913
```

Values from the calculation:
Total energy   -3.663 eV/atom
Space-group type   R3m


4.
A plane-wave DFT calculation with PBE was carried out for Zr2ZnGa2Co5 after structural relaxation.

```
Zr2ZnGa2Co5
1.0
9.141 0.000 0.000
0.000 9.141 0.000
0.000 0.000 3.357
Zr Zn Ga Co
4 2 4 10
Cartesian
1.583 2.988 0.000
2.988 7.559 0.000
6.153 1.583 0.000
7.559 6.153 0.000
0.000 0.000 0.000
4.571 4.571 0.000
1.145 5.715 0.000
3.426 1.145 0.000
5.715 7.997 0.000
7.997 3.426 0.000
0.000 4.571 1.678
0.535 7.279 1.678
1.862 0.535 1.678
2.708 5.106 1.678
4.036 2.708 1.678
4.571 0.000 1.678
5.106 6.433 1.678
6.433 4.036 1.678
7.279 8.606 1.678
8.606 1.862 1.678
```

Values from the calculation:
Total energy   -6.184 eV/atom
Space-group type   P4/mbm


5.
A plane-wave DFT calculation with PBE was carried out for ZrGa2Co2 after structural relaxation.

```
ZrGa2Co2
1.0
7.080 0.000 0.000
0.000 7.080 0.000
0.000 0.000 2.838
Zr Ga Co
2 4 4
Cartesian
0.000 0.000 0.000
3.540 3.540 0.000
1.108 2.432 1.419
2.432 5.973 1.419
4.648 1.108 1.419
5.973 4.648 1.419
0.973 4.513 0.000
2.568 0.973 0.000
4.513 6.108 0.000
6.108 2.568 0.000
```

Values from the calculation:
Total energy   -6.050 eV/atom
Space-group type   P4/mbm


6.
A plane-wave DFT calculation with PBE was carried out for Zr3Ga4Co2 after structural relaxation.

```
Zr3Ga4Co2
1.0
5.030 -2.055 0.000
5.030 2.055 0.000
-2.777 0.000 7.316
Zr Ga Co
3 4 2
Cartesian
0.000 0.000 0.000
2.747 0.000 2.322
4.538 0.000 4.994
-0.297 0.000 2.865
0.334 0.000 6.796
6.950 0.000 0.521
7.581 0.000 4.452
1.406 0.000 4.645
5.878 0.000 2.671
```

Values from the calculation:
Total energy   -6.289 eV/atom
Space-group type   C2/m


7.
A plane-wave DFT calculation with PBE was carried out for ZrGaCo3 after structural relaxation.

```
ZrGaCo3
1.0
4.548 0.000 0.000
0.000 4.548 0.000
0.000 0.000 4.548
Zr Ga Co
1 1 3
Cartesian
0.000 0.000 0.000
2.274 2.274 2.274
0.000 0.000 2.274
0.000 2.274 0.000
2.274 0.000 0.000
```

Values from the calculation:
Total energy   -5.214 eV/atom
Space-group type   Pm-3m


8.
A plane-wave DFT calculation with PBE was carried out for ZrGa6Co6 after structural relaxation.

```
ZrGa6Co6
1.0
-2.504 4.039 4.281
2.504 -4.039 4.281
2.504 4.039 -4.281
Zr Ga Co
1 6 6
Cartesian
0.000 0.000 0.000
2.504 0.000 1.534
0.000 2.732 0.000
0.000 0.000 2.926
0.000 0.000 5.635
0.000 5.345 0.000
0.000 4.039 2.747
1.252 2.019 -2.140
1.252 -2.019 2.140
2.504 1.931 0.000
-1.252 2.019 2.140
1.252 2.019 2.140
0.000 2.107 4.281
```

Values from the calculation:
Total energy   -5.651 eV/atom
Space-group type   Immm


9.
A plane-wave DFT calculation with PBE was carried out for Zr4Ga12Co after structural relaxation.

```
Zr4Ga12Co
1.0
-4.159 4.159 4.159
4.159 -4.159 4.159
4.159 4.159 -4.159
Zr Ga Co
4 12 1
Cartesian
2.079 2.079 -2.079
2.079 -2.079 2.079
-2.079 2.079 2.079
2.079 2.079 2.079
2.360 0.000 0.000
5.958 0.000 0.000
4.159 2.079 0.000
4.159 0.000 2.079
0.000 2.360 0.000
0.000 0.000 2.360
2.079 4.159 0.000
2.079 0.000 4.159
0.000 5.958 0.000
0.000 0.000 5.958
0.000 4.159 2.079
0.000 2.079 4.159
0.000 0.000 0.000
```

Values from the calculation:
Total energy   -4.985 eV/atom
Space-group type   Im-3m


10.
A plane-wave DFT calculation with PBE was carried out for Zr2GaCo after structural relaxation.

```
Zr2GaCo
1.0
4.159 0.000 0.000
-2.080 3.602 0.000
0.000 0.000 15.003
Zr Ga Co
6 3 3
Cartesian
0.000 0.000 0.000
0.000 0.000 2.957
0.000 2.401 10.002
0.000 2.401 12.959
2.080 1.201 5.001
2.080 1.201 7.958
0.000 0.000 11.613
0.000 2.401 6.612
2.080 1.201 1.610
0.000 0.000 6.197
0.000 2.401 1.196
2.080 1.201 11.198
```

Values from the calculation:
Total energy   -7.047 eV/atom
Space-group type   R3m


11.
A plane-wave DFT calculation with PBE was carried out for Zr2Ga6Co after structural relaxation.

```
Zr2Ga6Co
1.0
3.306 -8.008 0.000
3.306 8.008 0.000
0.000 0.000 3.023
Zr Ga Co
2 6 1
Cartesian
3.306 4.507 0.000
3.306 -4.507 0.000
2.051 2.186 1.511
1.295 0.000 0.000
2.051 -2.186 1.511
4.561 2.186 1.511
5.317 0.000 0.000
4.561 -2.186 1.511
3.306 0.000 1.511
```

Values from the calculation:
Total energy   -4.923 eV/atom
Space-group type   Cmmm


12.
A plane-wave DFT calculation with PBE was carried out for Zr2GaCo after structural relaxation.

```
Zr2GaCo
1.0
7.190 0.000 0.000
0.000 7.190 0.000
0.000 0.000 5.878
Zr Ga Co
8 4 4
Cartesian
1.498 1.797 0.735
1.797 5.093 2.204
1.797 5.691 5.143
2.096 1.797 3.674
5.093 5.392 3.674
5.392 1.498 5.143
5.392 2.096 2.204
5.691 5.392 0.735
0.000 0.000 2.939
0.000 3.595 4.408
3.595 0.000 1.469
3.595 3.595 0.000
0.000 0.000 0.000
0.000 3.595 1.469
3.595 0.000 4.408
3.595 3.595 2.939
```

Values from the calculation:
Total energy   -6.830 eV/atom
Space-group type   I-42d